No. 1
A plane-wave DFT calculation with GGA-PBE was carried out for Sm2UAgTe5 after structural relaxation.

Output
E_form (uncorrected) ... -0.912 eV/atom
Space-group type ... Cmc2_1

a = 4.3476 Å, b = 9.6380 Å, c = 13.4351 Å
α = 90.00°, β = 90.00°, γ = 103.04°
Closest atoms and distances in Å follow each position.
Atoms (fractional coordinates):
Sm (0.8876, 0.7752, 0.1860)  8 Te 3.24-3.35
Te (0.6929, 0.3858, 0.8390)  1 Ag 2.89, 2 U 3.15
Te (0.0423, 0.0845, 0.0791)  2 Ag 2.74, 1 U 3.00
Ag (0.4348, 0.8696, 0.4589)  4 Te 2.74-2.89
Sm (0.1124, 0.2248, 0.6860)  8 Te 3.24-3.35
Te (0.3605, 0.7210, 0.0002)  1 U 3.14, 4 Sm 3.35-3.43
Ag (0.5652, 0.1304, 0.9589)  4 Te 2.74-2.89
Te (0.5023, 0.0047, 0.2780)  1 Ag 2.74
U (0.8064, 0.6128, 0.5084)  6 Te 3.00-3.15, 2 Ag 3.31
U (0.1936, 0.3872, 0.0084)  6 Te 3.00-3.15, 2 Ag 3.31
Te (0.7129, 0.4258, 0.1710)  2 U 3.10, 3 Sm 3.24-3.29
Te (0.3071, 0.6142, 0.3390)  1 Ag 2.89, 2 U 3.15
Sm (0.8727, 0.7455, 0.8034)  8 Te 3.22-3.43
Te (0.9577, 0.9155, 0.5791)  2 Ag 2.74, 1 U 3.00
Sm (0.1273, 0.2545, 0.3034)  8 Te 3.22-3.43
Te (0.2871, 0.5742, 0.6710)  2 U 3.10, 3 Sm 3.24-3.29
Te (0.4977, 0.9953, 0.7780)  1 Ag 2.74
Te (0.6395, 0.2790, 0.5002)  1 U 3.14, 4 Sm 3.35-3.43

No. 2
A plane-wave DFT calculation with GGA-PBE was carried out for HfTi2SiSb after structural relaxation.

Output
E_form (uncorrected) ... 0.458 eV/atom
Space-group type ... P4/mmm

a = 4.5843 Å, b = 5.1849 Å, c = 4.5843 Å
α = 90.00°, β = 90.00°, γ = 90.00°
Closest atoms and distances in Å follow each position.
Atoms (fractional coordinates):
Hf (0.5000, 0.5000, 0.5000)  4 Sb 3.24, 8 Ti 3.46
Sb (0.0000, 0.5000, 0.0000)  2 Si 2.59
Ti (0.0000, 0.0000, 0.5000)  2 Si 2.29
Si (0.0000, 0.0000, 0.0000)  4 Ti 2.29
Ti (0.5000, 0.0000, 0.0000)  2 Si 2.29

No. 3
A plane-wave DFT calculation with GGA-PBE was carried out for BHPd after structural relaxation.

Output
Final energy ... -4.75 eV per atom
Space-group type ... Fddd

a = 5.3805 Å, b = 3.8783 Å, c = 7.7705 Å
α = 76.10°, β = 69.74°, γ = 46.08°
Closest atoms and distances in Å follow each position.
Atoms (fractional coordinates):
B (0.6250, 0.5000, 0.7499)  2 B 1.94, 2 H 2.06
Pd (0.9929, 0.0143, 0.5000)  2 H 1.75
H (0.6727, 0.0000, 0.6545)  2 Pd 1.75
H (0.4227, 0.5000, 0.1545)  2 Pd 1.75
Pd (0.2429, 0.5143, 0.0000)  2 H 1.75
B (0.8750, 0.5000, 0.2501)  2 B 1.94, 2 H 2.06
H (0.0773, 0.5000, 0.8455)  2 Pd 1.75
H (0.3273, 0.0000, 0.3455)  2 Pd 1.75
Pd (0.7571, 0.4857, 0.0000)  2 H 1.75
B (0.8750, 0.0000, 0.2499)  2 B 1.94, 2 H 2.06
Pd (0.5071, 0.9857, 0.5000)  2 H 1.75
B (0.1250, 0.0000, 0.7501)  2 B 1.94, 2 H 2.06